# NiIr6Rh12

A relaxed NiIr6Rh12 crystal (PBE, the Alexandria database).

As for the crystal system: trigonal. Its formation energy is 3.15 eV/f.u. For the total DFT energy (no corrections), the calculation gives -7.58 eV/atom. The value obtained for the spin magnetization is 0.00 μB per formula unit.

Lattice parameters (Å, degrees): 6.5321 6.5321 6.5321 89.97 89.97 89.97
Fractional positions:
Rh1 0.1985 0.4817 0.5636
Rh2 0.6279 0.9590 0.8461
Rh3 0.3721 0.0410 0.1539
Rh4 0.0410 0.1539 0.3721
Rh5 0.5183 0.4364 0.8015
Rh6 0.9590 0.8461 0.6279
Rh7 0.1539 0.3721 0.0410
Rh8 0.8015 0.5183 0.4364
Rh9 0.8461 0.6279 0.9590
Rh10 0.4364 0.8015 0.5183
Rh11 0.5636 0.1985 0.4817
Rh12 0.4817 0.5636 0.1985
Ni1 0.0000 0.0000 0.0000
Ir1 0.7381 0.8909 0.2735
Ir2 0.2735 0.7381 0.8909
Ir3 0.1091 0.7265 0.2619
Ir4 0.7265 0.2619 0.1091
Ir5 0.2619 0.1091 0.7265
Ir6 0.8909 0.2735 0.7381

=====

# MnAlTc2

A relaxed MnAlTc2 crystal (PBE, the Alexandria database).

As for the crystal system: trigonal. Its formation energy is -0.06 eV/f.u. For the total DFT energy (no corrections), the calculation gives -8.43 eV/atom. The value obtained for the spin magnetization is 2.33 μB per formula unit.

Lattice parameters (Å, degrees): 8.7915 8.7915 8.7915 17.98 17.98 17.98
Fractional positions:
Tc1 0.9996 0.9996 0.9996
Tc2 0.2510 0.2510 0.2510
Mn1 0.7511 0.7511 0.7511
Al1 0.4982 0.4982 0.4982

=====

# CrP2Ir

A relaxed CrP2Ir crystal (PBE, the Alexandria database).

As for the crystal system: orthorhombic. Its formation energy is -1.09 eV/f.u. For the total DFT energy (no corrections), the calculation gives -7.60 eV/atom. The excess energy over the best structure of this formula in the dataset is 58.4 meV per atom. The value obtained for the spin magnetization is 0.01 μB per formula unit.

Lattice parameters (Å, degrees): 4.3660 2.9062 4.0618 89.98 90.00 90.00
Fractional positions:
P1 0.5000 0.3751 0.2641
P2 0.0000 0.8751 0.0013
Ir1 0.5000 0.8749 0.7493
Cr1 0.0000 0.3749 0.4852

=====

# CrCdGaAs2

A relaxed CrCdGaAs2 crystal (PBE, the Alexandria database).

As for the crystal system: tetragonal. Its formation energy is 7.55 eV/f.u. For the total DFT energy (no corrections), the calculation gives -3.06 eV/atom. The value obtained for the spin magnetization is 0.39 μB per formula unit.

Lattice parameters (Å, degrees): 5.1667 4.9013 5.1667 90.00 90.00 90.00
Fractional positions:
Cd1 0.0000 0.0000 0.0000
As1 0.0000 0.0000 0.5000
As2 0.5000 0.0000 0.0000
Ga1 0.0000 0.5000 0.0000
Cr1 0.5000 0.5000 0.5000

=====

# CsNbTe4

A relaxed CsNbTe4 crystal (PBE, the Alexandria database).

As for the uncorrected formation energy: -2.9 eV per formula unit. As for the crystal system: triclinic. For the total DFT energy (no corrections), the calculation gives -4.40 eV/atom. The excess energy over the best structure of this formula in the dataset is 0.0 meV per atom. The value obtained for the spin magnetization is 0.00 μB per formula unit.

Lattice parameters (Å, degrees): 6.4230 8.5965 9.8349 113.71 105.95 96.44
Fractional positions:
Te1 0.1170 0.3049 0.1767
Te2 0.8830 0.6951 0.8233
Te3 0.5438 0.2761 0.9992
Te4 0.9418 0.1264 0.8225
Te5 0.0582 0.8736 0.1775
Te6 0.4562 0.7239 0.0008
Te7 0.3529 0.8515 0.7047
Te8 0.6471 0.1485 0.2953
Cs1 0.7005 0.6997 0.4012
Cs2 0.2995 0.3003 0.5988
Nb1 0.2532 0.0016 0.0002
Nb2 0.7468 0.9984 0.9998

=====

# Sm6Co2PBr3

A relaxed Sm6Co2PBr3 crystal (PBE, the Alexandria database).

As for the uncorrected formation energy: -11.5 eV per formula unit. As for the crystal system: monoclinic. For the total DFT energy (no corrections), the calculation gives -5.37 eV/atom. The value obtained for the spin magnetization is 0.00 μB per formula unit.

Lattice parameters (Å, degrees): 7.0085 7.0085 7.9081 98.43 98.43 119.98
Fractional positions:
Sm1 0.7159 0.7159 0.1933
Sm2 0.4128 0.0646 0.1935
Sm3 0.5872 0.9354 0.8065
Sm4 0.2841 0.2841 0.8067
Sm5 0.0646 0.4128 0.1935
Sm6 0.9354 0.5872 0.8065
P1 0.0000 0.0000 0.0000
Co1 0.6669 0.3331 0.0000
Co2 0.3331 0.6669 0.0000
Br1 0.5000 0.5000 0.5000
Br2 0.1632 0.8368 0.5000
Br3 0.8368 0.1632 0.5000

=====

# Sb4MoW

A relaxed Sb4MoW crystal (PBE, the Alexandria database).

As for the uncorrected formation energy: 9.3 eV per formula unit. As for the crystal system: cubic. For the total DFT energy (no corrections), the calculation gives -5.16 eV/atom. The value obtained for the spin magnetization is 0.46 μB per formula unit.

Lattice parameters (Å, degrees): 5.9779 5.9779 5.9779 60.00 60.00 60.00
Fractional positions:
Sb1 0.3751 0.8748 0.3751
Sb2 0.8748 0.3751 0.3751
Sb3 0.3751 0.3751 0.3751
Sb4 0.3751 0.3751 0.8748
Mo1 0.0000 0.0000 0.0000
W1 0.7500 0.7500 0.7500

=====

# TaCoNi2

A relaxed TaCoNi2 crystal (PBE, the Alexandria database).

As for the crystal system: tetragonal. Its formation energy is -1.08 eV/f.u. For the total DFT energy (no corrections), the calculation gives -7.90 eV/atom. The excess energy over the best structure of this formula in the dataset is 60.2 meV per atom. The value obtained for the spin magnetization is 0.00 μB per formula unit.

Lattice parameters (Å, degrees): 4.4857 4.4857 4.4857 131.70 131.70 70.71
Fractional positions:
Ni1 0.2500 0.7500 0.5000
Ni2 0.0000 0.0000 0.0000
Co1 0.7500 0.2500 0.5000
Ta1 0.5000 0.5000 0.0000

=====

# ZnIr3Ru2

A relaxed ZnIr3Ru2 crystal (PBE, the Alexandria database).

As for the crystal system: tetragonal. Its formation energy is -0.41 eV/f.u. For the total DFT energy (no corrections), the calculation gives -7.80 eV/atom. The value obtained for the spin magnetization is 0.00 μB per formula unit.

Lattice parameters (Å, degrees): 2.7343 2.7343 11.4533 90.00 90.00 90.00
Fractional positions:
Ir1 0.0000 0.0000 0.3291
Ir2 0.0000 0.0000 0.6709
Ir3 0.0000 0.0000 0.0000
Ru1 0.5000 0.5000 0.8301
Ru2 0.5000 0.5000 0.1699
Zn1 0.5000 0.5000 0.5000

=====

# YNi2Ag

A relaxed YNi2Ag crystal (PBE, the Alexandria database).

As for the crystal system: tetragonal. Its formation energy is -0.08 eV/f.u. For the total DFT energy (no corrections), the calculation gives -5.24 eV/atom. The excess energy over the best structure of this formula in the dataset is 140.1 meV per atom. The value obtained for the spin magnetization is 0.46 μB per formula unit.

Lattice parameters (Å, degrees): 3.2697 3.2697 6.3622 90.00 90.00 89.99
Fractional positions:
Ag1 0.5000 0.5000 0.7946
Y1 0.0000 0.0000 0.4653
Ni1 0.0000 0.0000 0.0399
Ni2 0.5000 0.5000 0.2001

=====

# HoThZn

A relaxed HoThZn crystal (PBE, the Alexandria database).

As for the crystal system: tetragonal. Its formation energy is -0.44 eV/f.u. For the total DFT energy (no corrections), the calculation gives -4.57 eV/atom. The excess energy over the best structure of this formula in the dataset is 0.0 meV per atom. The value obtained for the spin magnetization is 0.00 μB per formula unit.

Lattice parameters (Å, degrees): 3.5684 3.5684 6.7482 105.33 105.33 90.00
Fractional positions:
Th1 0.0132 0.0132 0.0265
Ho1 0.3128 0.3128 0.6256
Zn1 0.6739 0.6739 0.3479

=====

# KLiAsSe2

A relaxed KLiAsSe2 crystal (PBE, the Alexandria database).

As for the uncorrected formation energy: -2.9 eV per formula unit. As for the crystal system: orthorhombic. For the total DFT energy (no corrections), the calculation gives -3.50 eV/atom. The excess energy over the best structure of this formula in the dataset is 0.0 meV per atom. The value obtained for the spin magnetization is 0.00 μB per formula unit.

Lattice parameters (Å, degrees): 6.6039 5.4281 7.8099 110.34 90.00 90.00
Fractional positions:
K1 0.7491 0.2500 0.5000
K2 0.2509 0.7500 0.5000
Li1 0.5000 0.7500 0.0000
Li2 0.5000 0.2500 0.0000
Se1 0.7118 0.8829 0.7658
Se2 0.2882 0.1171 0.2342
Se3 0.2882 0.3829 0.7658
Se4 0.7118 0.6171 0.2342
As1 0.0000 0.5000 0.0000
As2 0.0000 0.0000 0.0000

=====

# Dy2LuAg

A relaxed Dy2LuAg crystal (PBE, the Alexandria database).

As for the crystal system: tetragonal. Its formation energy is -0.06 eV/f.u. For the total DFT energy (no corrections), the calculation gives -4.16 eV/atom. The excess energy over the best structure of this formula in the dataset is 108.1 meV per atom. The value obtained for the spin magnetization is 0.00 μB per formula unit.

Lattice parameters (Å, degrees): 3.7369 5.3651 5.3651 90.00 90.00 90.00
Fractional positions:
Ag1 0.5000 0.5000 0.5000
Lu1 0.5000 0.0000 0.0000
Dy1 0.0000 0.5000 0.0000
Dy2 0.0000 0.0000 0.5000

=====

# La3TaGa

A relaxed La3TaGa crystal (PBE, the Alexandria database).

As for the crystal system: cubic. Its formation energy is 2.32 eV/f.u. For the total DFT energy (no corrections), the calculation gives -5.47 eV/atom. The excess energy over the best structure of this formula in the dataset is 0.0 meV per atom. The value obtained for the spin magnetization is 0.00 μB per formula unit.

Lattice parameters (Å, degrees): 5.5862 5.5862 5.5862 90.00 90.00 90.00
Fractional positions:
La1 0.0000 0.5000 0.0000
La2 0.0000 0.0000 0.5000
La3 0.5000 0.0000 0.0000
Ga1 0.5000 0.5000 0.5000
Ta1 0.0000 0.0000 0.0000

=====

# PmHo2As

A relaxed PmHo2As crystal (PBE, the Alexandria database).

As for the crystal system: trigonal. Its formation energy is -2.45 eV/f.u. For the total DFT energy (no corrections), the calculation gives -5.25 eV/atom. The value obtained for the spin magnetization is 0.00 μB per formula unit.

Lattice parameters (Å, degrees): 3.8435 3.8435 9.7099 78.58 78.58 60.00
Fractional positions:
Pm1 0.5000 0.5000 0.5000
Ho1 0.2724 0.2724 0.1828
Ho2 0.7276 0.7276 0.8172
As1 0.0000 0.0000 0.0000